BaZrCu2: relaxed, GGA-PBEsol.

Results
Total energy: -18.03 eV for the cell shown
Size of the total moment: 0.00 μB/f.u.
Volume: 90.4 Å³/f.u.

POSCAR file:
```
BaZrCu2
1.0
-0.537 4.237 -1.989
-4.441 1.070 -2.102
-2.637 3.466 2.515
Cu Zr Ba
2 1 1
Direct
0.301 0.699 0.699
0.699 0.301 0.301
0.000 0.500 0.500
0.500 0.000 0.000
```